(1)
CaFe2Re2 | PBE | optimized geometry

abc: 7.4878 7.4878 2.6767
angles: 90.00 90.00 90.00
Space group P4/mbm (No. 127)
Asymmetric unit:
Ca  0.0000  0.0000  0.0000
Fe  0.1239  0.3761  0.0000
Re  0.1612  0.6612  0.5000

Mass density, g/cm3: 11.6
Magnetic moment, μB per atom: 0.000
Calculated formation energy, eV/atom: 0.37
Density of states at the Fermi level, states/eV/cell: 9.7


(2)
Be3NbAg | PBE | optimized geometry

abc: 4.1489 4.1489 4.1489
angles: 90.00 90.00 90.00
Space group Pm-3m (No. 221)
Asymmetric unit:
Be  0.0000  0.0000  0.5000
Nb  0.5000  0.5000  0.5000
Ag  0.0000  0.0000  0.0000

Mass density, g/cm3: 5.3
Magnetic moment, μB per atom: 0.000
Excess energy over the best structure of this formula in the dataset, eV per atom: 0.000
Calculated formation energy, eV/atom: 0.82
Density of states at the Fermi level, states/eV/cell: 2.0


(3)
AuSeBr2F | PBE | optimized geometry

abc: 5.6858 5.6858 3.8482
angles: 90.00 90.00 90.00
Space group P4/mmm (No. 123)
Asymmetric unit:
Au  0.0000  0.0000  0.0000
Se  0.5000  0.5000  0.0000
Br  0.0000  0.5000  0.5000
F  0.5000  0.5000  0.5000

Mass density, g/cm3: 6.1
Magnetic moment, μB per atom: 0.224
E_form (uncorrected), eV/f.u.: 1.85
Excess energy over the best structure of this formula in the dataset, eV per atom: 0.053
Density of states at the Fermi level, states/eV/cell: 3.8


(4)
KN2Cl | PBE | optimized geometry

abc: 6.1557 6.1557 7.3382
angles: 90.00 90.00 90.00
Space group I-42d (No. 122)
Asymmetric unit:
K  0.0000  0.0000  0.0000
N  0.1106  0.2500  0.6250
Cl  0.0000  0.0000  0.5000

Mass density, g/cm3: 2.4
Magnetic moment, μB per atom: 0.000
E_form (uncorrected), eV/f.u.: 6.70
Excess energy over the best structure of this formula in the dataset, eV per atom: 2.586
Density of states at the Fermi level, states/eV/cell: 0.0


(5)
CdNiP2 | PBE | optimized geometry

abc: 10.5188 3.6038 4.2450
angles: 90.00 90.98 90.00
Space group Cm (No. 8)
Asymmetric unit:
Cd  0.0000  0.0000  0.0000
Ni  0.2972  0.5000  0.5793
P  0.2339  0.0000  0.8433
P  0.3450  0.0000  0.2948

Mass density, g/cm3: 4.8
Magnetic moment, μB per atom: 0.000
Calculated formation energy, eV/atom: -0.07
Density of states at the Fermi level, states/eV/cell: 1.2


(6)
Ba3NaHg4 | PBE | optimized geometry

abc: 5.8428 5.8428 8.1967
angles: 90.00 90.00 90.00
Space group P4/mmm (No. 123)
Asymmetric unit:
Ba  0.0000  0.0000  0.0000
Ba  0.0000  0.0000  0.5000
Ba  0.5000  0.5000  0.0000
Na  0.5000  0.5000  0.5000
Hg  0.0000  0.5000  0.2545

Mass density, g/cm3: 7.3
Magnetic moment, μB per atom: 0.000
Calculated formation energy, eV/atom: -0.44
Density of states at the Fermi level, states/eV/cell: 6.2